# 1
DFT (PBE) results for a relaxed structure of GeAs3S.

abc: 4.916 4.916 4.916
angles: 90.00 90.00 90.00
Fractional coordinates of all 5 atoms:
Ge 0.000 0.000 0.000
S 0.500 0.500 0.500
As 0.500 0.000 0.000
As 0.000 0.000 0.500
As 0.000 0.500 0.000

Output
The calculation puts the uncorrected formation energy at 1.034 eV/atom. As for the total energy: -17.52 eV for the cell shown. The value obtained for the energy above the most stable polymorph in this dataset is 0.2878 eV/atom.

---

# 2
DFT (PBE) results for a relaxed structure of Sm5PuIr4.

abc: 4.756 6.964 10.431
angles: 130.63 103.18 90.00
Fractional coordinates of all 10 atoms:
Ir 0.664 0.077 0.328
Ir 0.006 0.251 0.012
Ir 0.994 0.749 0.988
Ir 0.336 0.923 0.672
Sm 0.500 0.500 0.000
Sm 0.834 0.173 0.667
Sm 0.833 0.668 0.666
Sm 0.166 0.827 0.333
Sm 0.167 0.332 0.334
Pu 0.500 0.000 0.000

Output
As for the total energy: -79.19 eV for the cell shown. As for the formation energy: -0.58 eV/atom.

---

# 3
DFT (PBE) results for a relaxed structure of Nd12DyPb3.

abc: 5.011 5.011 20.426
angles: 90.00 90.00 90.00
Fractional coordinates of all 16 atoms:
Dy 0.000 0.000 0.000
Nd 0.500 0.000 0.131
Nd 0.000 0.500 0.869
Nd 0.000 0.500 0.378
Nd 0.000 0.500 0.622
Nd 0.500 0.000 0.622
Nd 0.500 0.500 0.745
Nd 0.000 0.500 0.131
Nd 0.500 0.500 0.000
Nd 0.500 0.000 0.378
Nd 0.500 0.500 0.255
Nd 0.500 0.500 0.500
Nd 0.500 0.000 0.869
Pb 0.000 0.000 0.500
Pb 0.000 0.000 0.255
Pb 0.000 0.000 0.745

Output
As for the total energy: -76.78 eV for the cell shown. As for the formation energy: -0.24 eV/atom.

---

# 4
DFT (PBE) results for a relaxed structure of Mg3Pt12Rh.

abc: 3.942 3.942 15.930
angles: 90.00 90.00 90.00
Fractional coordinates of all 16 atoms:
Pt 0.500 0.500 0.500
Pt 0.000 0.500 0.375
Pt 0.000 0.500 0.125
Pt 0.500 0.500 0.250
Pt 0.500 0.000 0.875
Pt 0.500 0.000 0.625
Pt 0.500 0.500 0.000
Pt 0.500 0.500 0.750
Pt 0.000 0.500 0.625
Pt 0.000 0.500 0.875
Pt 0.500 0.000 0.375
Pt 0.500 0.000 0.125
Rh 0.000 0.000 0.000
Mg 0.000 0.000 0.251
Mg 0.000 0.000 0.749
Mg 0.000 0.000 0.500

Output
As for the total energy: -91.97 eV for the cell shown. As for the formation energy: -0.46 eV/atom.

---

# 5
DFT (PBE) results for a relaxed structure of LiCuReSi2.

abc: 4.355 4.796 4.355
angles: 90.00 90.00 90.00
Fractional coordinates of all 5 atoms:
Cu 0.000 0.000 0.000
Si 0.000 0.000 0.500
Si 0.500 0.000 0.000
Li 0.500 0.500 0.500
Re 0.000 0.500 0.000

Output
The calculation puts the uncorrected formation energy at 1.142 eV/atom. As for the total energy: -23.59 eV for the cell shown. The value obtained for the energy above the most stable polymorph in this dataset is 0.3617 eV/atom.

---

# 6
DFT (PBE) results for a relaxed structure of Pr8CuGe3Br4.

abc: 8.645 8.824 8.644
angles: 119.34 120.00 90.00
Fractional coordinates of all 16 atoms:
Pr 0.238 0.718 0.477
Pr 0.258 0.282 0.020
Pr 0.238 0.718 0.980
Pr 0.739 0.718 0.479
Pr 0.261 0.282 0.521
Pr 0.742 0.718 0.980
Pr 0.762 0.282 0.020
Pr 0.762 0.282 0.523
Br 0.000 0.000 0.000
Br 0.500 0.000 0.500
Br 0.000 0.000 0.500
Br 0.500 0.000 0.000
Cu 0.000 0.500 0.000
Ge 0.000 0.500 0.500
Ge 0.500 0.500 0.000
Ge 0.500 0.500 0.500

Output
The calculation puts the uncorrected formation energy at -1.021 eV/atom. As for the total energy: -79.22 eV for the cell shown.

---

# 7
DFT (PBE) results for a relaxed structure of Th2Ga4NiPt3.

abc: 4.276 4.276 10.388
angles: 90.00 90.00 90.00
Fractional coordinates of all 10 atoms:
Pt 0.500 0.000 0.861
Pt 0.000 0.000 0.500
Pt 0.000 0.500 0.139
Ga 0.500 0.500 0.000
Ga 0.000 0.000 0.000
Ga 0.000 0.500 0.378
Ga 0.500 0.000 0.622
Th 0.000 0.500 0.749
Th 0.500 0.000 0.251
Ni 0.500 0.500 0.500

Output
As for the total energy: -59.61 eV for the cell shown. As for the formation energy: -0.88 eV/atom.

---

# 8
DFT (PBE) results for a relaxed structure of Li2CoHPt.

abc: 3.758 3.758 3.662
angles: 90.00 90.00 90.00
Fractional coordinates of all 5 atoms:
Co 0.000 0.000 0.500
Li 0.000 0.500 0.000
Li 0.500 0.000 0.000
Pt 0.500 0.500 0.500
H 0.000 0.000 0.000

Output
As for the total energy: -21.26 eV for the cell shown.

---

# 9
DFT (PBE) results for a relaxed structure of Li2BrF.

abc: 3.442 3.442 6.339
angles: 74.25 74.25 60.00
Fractional coordinates of all 4 atoms:
Li 0.242 0.242 0.274
Li 0.098 0.098 0.707
Br 0.667 0.667 0.998
F 0.493 0.493 0.520

Output
The calculation puts the uncorrected formation energy at -1.958 eV/atom. As for the total energy: -15.21 eV for the cell shown. The value obtained for the energy above the most stable polymorph in this dataset is 0.2566 eV/atom.

---

# 10
DFT (PBE) results for a relaxed structure of YTaAu2.

abc: 3.094 3.094 8.313
angles: 90.00 90.00 89.99
Fractional coordinates of all 4 atoms:
Au 0.000 0.000 0.482
Au 0.000 0.000 0.018
Ta 0.500 0.500 0.250
Y 0.500 0.500 0.750

Output
As for the total energy: -25.86 eV for the cell shown. The value obtained for the energy above the most stable polymorph in this dataset is 0.0000 eV/atom. As for the formation energy: -0.25 eV/atom.

---

# 11
DFT (PBE) results for a relaxed structure of CeCu9Sn4.

abc: 8.751 8.751 8.751
angles: 117.05 117.05 95.19
Fractional coordinates of all 28 atoms:
Cu 0.447 0.350 0.500
Cu 0.720 0.424 0.500
Cu 0.553 0.650 0.500
Cu 0.220 0.720 0.296
Cu 0.650 0.150 0.097
Cu 0.500 0.000 0.500
Cu 0.350 0.850 0.903
Cu 0.053 0.553 0.903
Cu 0.076 0.780 0.500
Cu 0.280 0.576 0.500
Cu 0.780 0.280 0.704
Cu 0.424 0.924 0.704
Cu 0.576 0.076 0.296
Cu 0.000 0.500 0.500
Cu 0.150 0.053 0.500
Cu 0.924 0.220 0.500
Cu 0.947 0.447 0.097
Cu 0.850 0.947 0.500
Ce 0.750 0.750 0.000
Ce 0.250 0.250 0.000
Sn 0.720 0.535 0.255
Sn 0.780 0.035 0.815
Sn 0.465 0.720 0.185
Sn 0.220 0.965 0.185
Sn 0.035 0.220 0.255
Sn 0.280 0.465 0.745
Sn 0.535 0.280 0.815
Sn 0.965 0.780 0.745

Output
As for the total energy: -117.02 eV for the cell shown. As for the formation energy: 0.02 eV/atom.

---

# 12
DFT (PBE) results for a relaxed structure of Ca2Hg2Bi.

abc: 4.244 4.244 9.091
angles: 76.50 76.50 90.00
Fractional coordinates of all 5 atoms:
Hg 0.750 0.250 0.500
Hg 0.250 0.750 0.500
Ca 0.399 0.399 0.202
Ca 0.601 0.601 0.798
Bi 0.000 0.000 0.000

Output
As for the total energy: -10.70 eV for the cell shown. The value obtained for the energy above the most stable polymorph in this dataset is 0.0798 eV/atom. As for the formation energy: -0.44 eV/atom.

---

# 13
DFT (PBE) results for a relaxed structure of CaMg2ZnAu2.

abc: 5.314 5.314 6.661
angles: 113.51 113.51 90.00
Fractional coordinates of all 6 atoms:
Au 0.227 0.227 0.454
Au 0.773 0.773 0.546
Zn 0.000 0.000 0.000
Mg 0.750 0.250 0.500
Mg 0.250 0.750 0.500
Ca 0.500 0.500 0.000

Output
As for the total energy: -14.85 eV for the cell shown. As for the formation energy: -0.31 eV/atom.

---

# 14
DFT (PBE) results for a relaxed structure of Ac2Si4AgPt3.

abc: 4.412 4.412 10.119
angles: 90.00 90.00 90.00
Fractional coordinates of all 10 atoms:
Si 0.000 0.500 0.364
Si 0.500 0.500 0.000
Si 0.000 0.000 0.000
Si 0.500 0.000 0.636
Pt 0.000 0.500 0.114
Pt 0.500 0.000 0.886
Pt 0.000 0.000 0.500
Ac 0.500 0.000 0.246
Ac 0.000 0.500 0.754
Ag 0.500 0.500 0.500

Output
The calculation puts the uncorrected formation energy at -0.904 eV/atom. As for the total energy: -59.92 eV for the cell shown.

---

# 15
DFT (PBE) results for a relaxed structure of Nd2BeSbRh6.

abc: 6.436 6.440 6.446
angles: 59.96 59.98 90.01
Fractional coordinates of all 10 atoms:
Be 0.500 0.500 0.000
Sb 0.000 0.000 0.000
Rh 0.729 0.729 0.000
Rh 0.271 0.271 0.000
Rh 0.730 0.270 0.000
Rh 0.270 0.730 0.000
Rh 0.729 0.729 0.541
Rh 0.271 0.271 0.459
Nd 0.250 0.750 0.500
Nd 0.750 0.250 0.500

Output
The calculation puts the uncorrected formation energy at -0.373 eV/atom. As for the total energy: -65.23 eV for the cell shown.

---

# 16
DFT (PBE) results for a relaxed structure of Tb2DyIn3Te6.

abc: 7.656 7.656 8.506
angles: 98.63 98.63 119.99
Fractional coordinates of all 12 atoms:
Te 0.073 0.406 0.219
Te 0.594 0.927 0.781
Te 0.259 0.259 0.780
Te 0.406 0.073 0.219
Te 0.927 0.594 0.781
Te 0.741 0.741 0.220
Tb 0.667 0.333 0.000
Tb 0.333 0.667 0.000
In 0.500 0.500 0.500
In 0.167 0.833 0.500
In 0.833 0.167 0.500
Dy 0.000 0.000 0.000

Output
The calculation puts the uncorrected formation energy at -0.975 eV/atom. As for the total energy: -52.62 eV for the cell shown.

---

# 17
DFT (PBE) results for a relaxed structure of LiLa2Ag6.

abc: 3.354 8.470 8.470
angles: 60.00 89.96 89.96
Fractional coordinates of all 9 atoms:
Ag 0.499 0.000 0.673
Ag 0.501 0.000 0.327
Ag 0.500 0.673 0.327
Ag 0.499 0.673 0.000
Ag 0.500 0.327 0.673
Ag 0.501 0.327 0.000
Li 0.000 0.000 0.000
La 0.000 0.667 0.667
La 0.000 0.333 0.333

Output
As for the total energy: -30.27 eV for the cell shown. As for the formation energy: -0.15 eV/atom.

---

# 18
DFT (PBE) results for a relaxed structure of La2Tc.

abc: 4.746 4.746 8.212
angles: 90.00 90.00 120.00
Fractional coordinates of all 6 atoms:
La 0.000 0.000 0.000
La 0.000 0.000 0.500
La 0.333 0.667 0.250
La 0.667 0.333 0.750
Tc 0.667 0.333 0.250
Tc 0.333 0.667 0.750

Output
As for the total energy: -39.62 eV for the cell shown. The value obtained for the energy above the most stable polymorph in this dataset is 0.1031 eV/atom. As for the formation energy: 0.14 eV/atom.

---

# 19
DFT (PBE) results for a relaxed structure of Ga2Sb2Au5.

abc: 4.127 7.462 7.145
angles: 101.05 73.29 114.54
Fractional coordinates of all 9 atoms:
Au 0.000 0.000 0.000
Au 0.738 0.311 0.948
Au 0.975 0.299 0.526
Au 0.025 0.701 0.474
Au 0.262 0.689 0.052
Sb 0.413 0.082 0.295
Sb 0.587 0.918 0.705
Ga 0.481 0.467 0.744
Ga 0.519 0.533 0.256

Output
The calculation puts the uncorrected formation energy at -0.089 eV/atom. As for the total energy: -31.48 eV for the cell shown. The value obtained for the energy above the most stable polymorph in this dataset is 0.0000 eV/atom.

---

# 20
DFT (PBE) results for a relaxed structure of Sr2YTe.

abc: 4.001 4.001 9.819
angles: 90.00 90.00 90.00
Fractional coordinates of all 4 atoms:
Te 0.000 0.000 0.537
Sr 0.000 0.000 0.966
Sr 0.500 0.500 0.305
Y 0.500 0.500 0.691

Output
The calculation puts the uncorrected formation energy at -0.583 eV/atom. As for the total energy: -15.30 eV for the cell shown.

---

# 21
DFT (PBE) results for a relaxed structure of LaLuCo.

abc: 3.390 3.390 6.877
angles: 104.27 104.27 90.00
Fractional coordinates of all 3 atoms:
Lu 0.290 0.290 0.579
La 0.035 0.035 0.069
Co 0.676 0.676 0.351

Output
As for the total energy: -16.80 eV for the cell shown. The value obtained for the energy above the most stable polymorph in this dataset is 0.0000 eV/atom. As for the formation energy: -0.08 eV/atom.

---

It is found that the magnetic moment values, taken in the order of the records, are 0.0, 5.1, 0.0, 1.0, 2.5, 0.0, 0.0, 1.5, 0.0, 0.0, 1.1, 0.0, 0.0, 0.0, 0.0, 0.0, 0.0, 0.0, 0.0, 0.8, 0.7 μB/f.u..